[1]
VASP calculation (PBE-GGA) on a relaxed structure of BaPmCd4.

a b c (Å): 6.1825 6.1825 6.1825
angles (deg): 60.00 60.00 60.00
Element x y z (fractional)
Pm1 0.0000 0.0000 0.0000
Cd1 0.6260 0.6260 0.6260
Cd2 0.6260 0.1219 0.6260
Cd3 0.1219 0.6260 0.6260
Cd4 0.6260 0.6260 0.1219
Ba1 0.2500 0.2500 0.2500

Values from the calculation:
For the density, the calculation gives 7.27 Mg/m³. For the volume, the calculation gives 27.85 Å³/atom. Its spin magnetization is 0.00 μB per atom. Its energy relative to the elements is -237 meV per atom.

[2]
VASP calculation (PBE-GGA) on a relaxed structure of Ba2Pm2Cd15.

a b c (Å): 8.0459 8.0459 8.0459
angles (deg): 81.50 81.50 81.50
Element x y z (fractional)
Cd1 0.3586 0.8463 0.3586
Cd2 0.6414 0.6414 0.1537
Cd3 0.1537 0.6414 0.6414
Cd4 0.0000 0.0000 0.5000
Cd5 0.3586 0.3586 0.8463
Cd6 0.2934 0.0000 0.7066
Cd7 0.8463 0.3586 0.3586
Cd8 0.6414 0.1537 0.6414
Cd9 0.0000 0.7066 0.2934
Cd10 0.0000 0.5000 0.0000
Cd11 0.0000 0.2934 0.7066
Cd12 0.2934 0.7066 0.0000
Cd13 0.7066 0.0000 0.2934
Cd14 0.5000 0.0000 0.0000
Cd15 0.7066 0.2934 0.0000
Pm1 0.9072 0.9072 0.9072
Pm2 0.0928 0.0928 0.0928
Ba1 0.6613 0.6613 0.6613
Ba2 0.3387 0.3387 0.3387

Values from the calculation:
For the density, the calculation gives 7.40 Mg/m³. For the volume, the calculation gives 26.59 Å³/atom. Its spin magnetization is 0.00 μB per atom. Its energy relative to the elements is -194 meV per atom.

[3]
VASP calculation (PBE-GGA) on a relaxed structure of Ba5PmCd6.

a b c (Å): 5.9051 8.3220 10.2410
angles (deg): 66.03 73.26 90.00
Element x y z (fractional)
Cd1 0.5001 0.7901 0.0001
Cd2 0.8433 0.6168 0.3109
Cd3 0.8434 0.0723 0.3109
Cd4 0.1566 0.9277 0.6891
Cd5 0.4999 0.2099 0.9999
Cd6 0.1567 0.3832 0.6891
Pm1 0.0000 0.0000 0.0000
Ba1 0.6631 0.6625 0.6751
Ba2 0.3232 0.8242 0.3517
Ba3 0.0000 0.5000 0.0000
Ba4 0.3369 0.3375 0.3249
Ba5 0.6768 0.1758 0.6483

Values from the calculation:
For the density, the calculation gives 5.73 Mg/m³. For the volume, the calculation gives 36.37 Å³/atom. Its spin magnetization is 0.00 μB per atom. Its energy relative to the elements is -297 meV per atom.